Entry from Alexandria via LeMat-Bulk: an optimized crystal structure of Al2CdCl (PBEsol).

```
8
Lattice="-4.3630 -3.5590 1.2010 3.5776 -4.4983 -0.3331 1.7009 4.5932 5.9915" Properties=species:S:1:pos:R:3 pbc="T T T"
Al 1.1864 2.4266 4.6013
Al 0.7759 -1.5797 5.0369
Al -2.0400 -3.6438 2.4209
Al 1.9087 -4.1311 1.6598
Cd 2.4429 -1.9668 3.0462
Cd 0.0000 0.0000 0.0000
Cl -1.5274 -1.4972 3.8132
Cl -0.3927 -4.0286 0.4339
```

Output
**V**: 27.268 Å³/atom
**Uncorrected formation energy**: 252 meV per atom
**Excess energy over the best structure of this formula in the dataset**: 0.3045 eV per atom

Entry from Alexandria via LeMat-Bulk: an optimized crystal structure of Al2CdCl (PBEsol).

```
4
Lattice="2.9923 0.0000 0.0000 0.0000 5.0092 0.0000 0.0000 0.0000 5.2044" Properties=species:S:1:pos:R:3 pbc="T T T"
Al 0.0000 0.0000 0.0000
Al 1.4962 0.0000 2.6022
Cl 0.0000 2.5046 2.6022
Cd 1.4962 2.5046 0.0000
```

Output
**V**: 19.503 Å³/atom
**Uncorrected formation energy**: -52 meV per atom
**Excess energy over the best structure of this formula in the dataset**: 0.0000 eV per atom

Entry from Alexandria via LeMat-Bulk: an optimized crystal structure of AlCd2Cl (PBEsol).

```
4
Lattice="-1.8700 -2.2868 0.3345 2.8148 -2.6568 -2.4269 2.5658 0.7745 6.4281" Properties=species:S:1:pos:R:3 pbc="T T T"
Cd 1.1870 -0.6631 2.1027
Cd 2.3236 -3.5060 2.2330
Cl 1.4074 -1.3284 -1.2135
Al -0.9350 -1.1434 0.1672
```

Output
**V**: 21.762 Å³/atom
**Uncorrected formation energy**: -118 meV per atom
**Excess energy over the best structure of this formula in the dataset**: 0.0000 eV per atom

Entry from Alexandria via LeMat-Bulk: an optimized crystal structure of Al2CdCl (PBEsol).

```
4
Lattice="-2.9425 0.4317 2.8727 2.4961 -1.7160 2.8147 1.9999 5.1100 -1.6953" Properties=species:S:1:pos:R:3 pbc="T T T"
Al 0.0000 0.0000 0.0000
Al -0.5830 2.4498 2.0105
Cl 2.1364 1.3759 1.9815
Cd -0.2232 -0.6421 2.8437
```

Output
**V**: 21.130 Å³/atom
**Uncorrected formation energy**: 132 meV per atom
**Excess energy over the best structure of this formula in the dataset**: 0.1836 eV per atom

Entry from Alexandria via LeMat-Bulk: an optimized crystal structure of Al2CdCl (PBEsol).

```
4
Lattice="-1.5915 -0.9975 2.2501 -3.9232 -1.0476 -3.2392 1.9066 -4.7706 -0.7664" Properties=species:S:1:pos:R:3 pbc="T T T"
Cl -0.7957 -0.4988 1.1251
Cd -1.8040 -3.4079 -0.8777
Al -1.9616 -0.5238 -1.6196
Al 0.9533 -2.3853 -0.3832
```

Output
**V**: 19.771 Å³/atom
**Uncorrected formation energy**: -8 meV per atom
**Excess energy over the best structure of this formula in the dataset**: 0.0436 eV per atom

Entry from Alexandria via LeMat-Bulk: an optimized crystal structure of AlCd2Cl (PBEsol).

```
4
Lattice="5.0293 0.0000 0.0000 2.5147 4.3555 0.0000 2.5147 1.4518 4.1064" Properties=species:S:1:pos:R:3 pbc="T T T"
Cl 5.0293 2.9037 2.0532
Cd 7.5440 4.3555 3.0798
Cd 2.5147 1.4518 1.0266
Al 0.0000 0.0000 0.0000
```

Output
**V**: 22.488 Å³/atom
**Uncorrected formation energy**: 116 meV per atom
**Excess energy over the best structure of this formula in the dataset**: 0.2340 eV per atom

Entry from Alexandria via LeMat-Bulk: an optimized crystal structure of Al3CdCl (PBEsol).

```
5
Lattice="5.0836 0.0000 0.0000 0.0000 5.0836 0.0000 0.0000 0.0000 5.0836" Properties=species:S:1:pos:R:3 pbc="T T T"
Cd 0.0000 0.0000 0.0000
Al 2.5418 0.0000 0.0000
Al 0.0000 0.0000 2.5418
Al 0.0000 2.5418 0.0000
Cl 2.5418 2.5418 2.5418
```

Output
**V**: 26.276 Å³/atom
**Uncorrected formation energy**: 503 meV per atom

Entry from Alexandria via LeMat-Bulk: an optimized crystal structure of Al2CdCl (PBEsol).

```
4
Lattice="-0.3377 -1.1031 -2.7645 4.7224 0.4303 -0.7486 0.7776 -5.1345 1.9537" Properties=species:S:1:pos:R:3 pbc="T T T"
Al 0.5812 -3.8377 1.4603
Al 0.1964 -1.2968 0.4934
Cl 2.5811 -2.9036 -0.7797
Cd 2.1924 -0.3364 -1.7566
```

Output
**V**: 19.948 Å³/atom
**Uncorrected formation energy**: 32 meV per atom
**Excess energy over the best structure of this formula in the dataset**: 0.0845 eV per atom

Entry from Alexandria via LeMat-Bulk: an optimized crystal structure of AlCd2Cl (PBEsol).

```
4
Lattice="3.2775 0.0902 0.0000 -0.3623 3.2586 0.0000 0.0000 0.0000 7.6703" Properties=species:S:1:pos:R:3 pbc="T T T"
Cd 0.0000 0.0000 5.8698
Cd 0.0000 0.0000 1.8005
Al 1.4576 1.6744 0.0000
Cl 1.4576 1.6744 3.8352
```

Output
**V**: 20.542 Å³/atom
**Uncorrected formation energy**: -118 meV per atom
**Excess energy over the best structure of this formula in the dataset**: 0.0004 eV per atom

Entry from Alexandria via LeMat-Bulk: an optimized crystal structure of AlCd2RuCl (PBEsol).

```
5
Lattice="-0.0372 4.2587 1.8344 -4.2625 1.0648 -2.5583 -2.7708 -1.7067 3.9062" Properties=species:S:1:pos:R:3 pbc="T T T"
Cl -0.0186 2.1294 0.9172
Cd -1.3854 -0.8533 1.9531
Cd -2.1313 0.5324 -1.2792
Ru -3.5352 1.8084 1.5911
Al 0.0000 0.0000 0.0000
```

Output
**V**: 23.972 Å³/atom
**Uncorrected formation energy**: 1066 meV per atom

Entry from Alexandria via LeMat-Bulk: an optimized crystal structure of AlCdCo2 (PBEsol).

```
4
Lattice="-2.7288 0.1001 -0.1965 -1.5271 -1.9695 1.1330 -1.7647 3.6665 7.3022" Properties=species:S:1:pos:R:3 pbc="T T T"
Al -3.0103 0.8985 4.1194
Co -4.5079 1.2549 6.0277
Co -1.5126 0.5422 2.2111
Cd 0.0000 0.0000 0.0000
```

Output
**V**: 13.320 Å³/atom
**Excess energy over the best structure of this formula in the dataset**: 0.1117 eV per atom
**E_form**: 102 meV/atom

Entry from Alexandria via LeMat-Bulk: an optimized crystal structure of AlCdCo2 (PBEsol).

```
4
Lattice="2.8036 0.0000 0.0000 0.0000 4.3469 -0.0093 -1.4018 -1.5768 4.3698" Properties=species:S:1:pos:R:3 pbc="T T T"
Co 0.0000 4.2582 0.1685
Co 1.4018 0.4188 2.0834
Al 0.0000 0.4443 4.2022
Cd 0.0000 2.5922 2.2622
```

Output
**V**: 13.303 Å³/atom
**Excess energy over the best structure of this formula in the dataset**: 0.0655 eV per atom
**E_form**: 56 meV/atom

Entry from Alexandria via LeMat-Bulk: an optimized crystal structure of AlCdCo2 (PBEsol).

```
4
Lattice="-0.4254 2.5389 1.4241 -4.0957 -0.2393 -0.7969 -0.5719 -2.0979 3.5692" Properties=species:S:1:pos:R:3 pbc="T T T"
Cd -0.2127 1.2694 0.7121
Co -2.0478 -0.1196 -0.3984
Co -0.2859 -1.0489 1.7846
Al -2.5465 0.1009 2.0982
```

Output
**V**: 12.847 Å³/atom
**Excess energy over the best structure of this formula in the dataset**: 0.0000 eV per atom
**E_form**: -10 meV/atom

Entry from Alexandria via LeMat-Bulk: an optimized crystal structure of AlCdCo2 (PBEsol).

```
4
Lattice="4.2185 0.0000 0.0000 2.1093 3.6534 0.0000 2.1093 1.2178 3.4444" Properties=species:S:1:pos:R:3 pbc="T T T"
Co 6.3278 3.6534 2.5833
Co 0.0000 0.0000 0.0000
Cd 2.1093 1.2178 0.8611
Al 4.2185 2.4356 1.7222
```

Output
**V**: 13.271 Å³/atom
**Excess energy over the best structure of this formula in the dataset**: 0.1768 eV per atom
**E_form**: 167 meV/atom

Entry from Alexandria via LeMat-Bulk: an optimized crystal structure of AlCdCo2O (PBEsol).

```
5
Lattice="3.9128 0.0000 0.0000 0.0000 4.7738 0.0000 0.0000 0.0000 4.7738" Properties=species:S:1:pos:R:3 pbc="T T T"
Co 0.0000 2.3869 0.0000
Co 0.0000 0.0000 2.3869
O 1.9564 0.0000 0.0000
Al 1.9564 2.3869 2.3869
Cd 0.0000 0.0000 0.0000
```

Output
**V**: 17.834 Å³/atom
**Uncorrected formation energy**: 1290 meV per atom

Entry from Alexandria via LeMat-Bulk: an optimized crystal structure of AlCrCd2 (PBEsol).

```
4
Lattice="-2.1855 1.5282 -1.3191 -1.9762 -1.2226 1.8578 1.0839 5.8928 5.0309" Properties=species:S:1:pos:R:3 pbc="T T T"
Cd -1.7792 1.7926 1.6693
Cd 1.0708 5.8219 4.9703
Cr 0.5668 3.0818 2.6310
Al -1.3104 4.3414 3.8454
```

Output
**V**: 17.313 Å³/atom
**E_form**: 206 meV/atom

Entry from Alexandria via LeMat-Bulk: an optimized crystal structure of AlCrCd2 (PBEsol).

```
4
Lattice="2.9189 0.0000 0.0000 0.0000 4.2798 -0.0887 -1.4594 -2.0005 6.1017" Properties=species:S:1:pos:R:3 pbc="T T T"
Cr 0.0000 2.1399 -0.0444
Cd 1.4594 2.1942 2.2718
Cd 0.0000 0.0851 3.7412
Al 1.4594 0.0000 0.0000
```

Output
**V**: 18.927 Å³/atom
**E_form**: 276 meV/atom

Entry from Alexandria via LeMat-Bulk: an optimized crystal structure of AlCrCd2 (PBEsol).

```
4
Lattice="2.9504 0.0000 0.0000 0.0000 2.9504 0.0000 0.0000 0.0000 8.4024" Properties=species:S:1:pos:R:3 pbc="T T T"
Cr 1.4752 1.4752 0.0000
Al 1.4752 1.4752 4.2012
Cd 0.0000 0.0000 1.9950
Cd 0.0000 0.0000 6.4074
```

Output
**V**: 18.286 Å³/atom
**E_form**: 371 meV/atom

Entry from Alexandria via LeMat-Bulk: an optimized crystal structure of AlCrCd2 (PBEsol).

```
4
Lattice="-1.4733 2.4353 3.0205 -3.8773 -0.8516 -1.2047 2.5894 -3.9982 1.6353" Properties=species:S:1:pos:R:3 pbc="T T T"
Al -0.7796 -0.3855 2.7818
Cd -1.9816 -2.0289 0.6693
Cd -2.7613 -2.4143 3.4510
Cr -2.6753 0.7917 0.9080
```

Output
**V**: 17.619 Å³/atom
**E_form**: 275 meV/atom

Entry from Alexandria via LeMat-Bulk: an optimized crystal structure of HfAlCr2Cd (PBEsol).

```
5
Lattice="4.5013 0.0000 0.0000 0.0000 4.5013 0.0000 0.0000 0.0000 4.9142" Properties=species:S:1:pos:R:3 pbc="T T T"
Cd 2.2507 2.2507 2.4571
Cr 2.2507 0.0000 0.0000
Cr 0.0000 2.2507 0.0000
Hf 0.0000 0.0000 2.4571
Al 0.0000 0.0000 0.0000
```

Output
**V**: 19.914 Å³/atom
**E_form**: 1155 meV/atom